# 1
Entry from Alexandria: HoSc5Sb3 after structural relaxation (PBE-GGA).

Summary:
Crystal system   hexagonal
SG   P6_3/mcm
ΔE_f (raw)   -0.64 eV per atom
Magnetization   0.00 μB per formula unit

abc: 8.7846 8.7846 6.1859
angles: 90.00 90.00 120.00
Sites, in units of the cell vectors:
Sc1 0.6635 0.6635 0.7500
Sc2 0.3365 0.0000 0.7500
Sc3 0.3333 0.6667 0.5000
Sc4 0.3333 0.6667 0.0000
Sc5 0.6667 0.3333 0.0000
Sc6 0.6635 0.0000 0.2500
Sc7 0.6667 0.3333 0.5000
Sc8 0.0000 0.6635 0.2500
Sc9 0.3365 0.3365 0.2500
Sc10 0.0000 0.3365 0.7500
Sb1 0.3348 0.0000 0.2500
Sb2 0.3348 0.3348 0.7500
Sb3 0.0000 0.3348 0.2500
Sb4 0.6652 0.6652 0.2500
Sb5 0.6652 0.0000 0.7500
Sb6 0.0000 0.6652 0.7500
Ho1 0.0000 0.0000 0.5000
Ho2 0.0000 0.0000 0.0000

# 2
Entry from Alexandria: HoScSbSe after structural relaxation (PBE-GGA).

Summary:
Crystal system   trigonal
SG   R3m
ΔE_f (raw)   -1.29 eV per atom
Magnetization   0.00 μB per formula unit

abc: 4.0437 4.0434 7.4100
angles: 90.00 105.84 119.99
Sites, in units of the cell vectors:
Sc1 0.3165 0.5562 0.8879
Ho1 0.9583 0.3772 0.3506
Sb1 0.4802 0.1381 0.6333
Se1 0.1229 0.9594 0.0977

# 3
Entry from Alexandria: TbHo2Sc3Sb6 after structural relaxation (PBE-GGA).

Summary:
Crystal system   monoclinic
SG   C2/m
ΔE_f (raw)   -1.03 eV per atom
Magnetization   0.00 μB per formula unit

abc: 7.4090 7.4090 7.3889
angles: 99.61 99.61 120.02
Sites, in units of the cell vectors:
Sb1 0.0883 0.4230 0.2647
Sb2 0.5770 0.9117 0.7353
Sb3 0.9117 0.5770 0.7353
Sb4 0.4230 0.0883 0.2647
Sb5 0.7532 0.7532 0.2641
Sb6 0.2468 0.2468 0.7359
Ho1 0.6669 0.3331 0.0000
Ho2 0.3331 0.6669 0.0000
Tb1 0.0000 0.0000 0.0000
Sc1 0.1660 0.8340 0.5000
Sc2 0.5000 0.5000 0.5000
Sc3 0.8340 0.1660 0.5000

# 4
Entry from Alexandria: TbHoSc2Sb4 after structural relaxation (PBE-GGA).

Summary:
Crystal system   monoclinic
SG   P2/m
ΔE_f (raw)   -1.03 eV per atom
Magnetization   0.00 μB per formula unit

abc: 4.2799 7.4116 7.3988
angles: 109.50 90.00 90.00
Sites, in units of the cell vectors:
Sc1 0.0000 0.5000 0.5000
Sc2 0.5000 0.0000 0.5000
Ho1 0.0000 0.0000 0.0000
Sb1 0.5000 0.7463 0.7354
Sb2 0.0000 0.2438 0.7346
Sb3 0.0000 0.7562 0.2654
Sb4 0.5000 0.2537 0.2646
Tb1 0.5000 0.5000 0.0000